# 1
Material: ErTaC2
Method: DFT, GGA-PBE
State: relaxed

Structure (POSCAR):
```
ErTaC2
1.0
1.645 0.950 5.542
-1.645 0.950 5.542
0.000 -1.899 5.542
Er Ta C
1 1 2
Direct
0.000 0.000 0.000
0.500 0.500 0.500
0.240 0.240 0.240
0.760 0.760 0.760
```

As for the density of states at the Fermi level: 0.9 states/eV per cell. The crystal system is trigonal. Its energy above the lowest structure with this stoichiometry is 0.0 meV/atom. Its volume is 51.9 Å³/cell. For the formation energy, the calculation gives -209.2 kJ/mol of formula units.

# 2
Material: ErTaC2
Method: DFT, GGA-PBE
State: relaxed

Structure (POSCAR):
```
ErTaC2
1.0
5.714 0.000 0.000
0.000 3.465 0.000
0.000 0.000 11.059
Er Ta C
4 4 8
Direct
0.085 0.250 0.140
0.415 0.750 0.640
0.585 0.250 0.360
0.915 0.750 0.860
0.095 0.750 0.394
0.405 0.250 0.894
0.595 0.750 0.106
0.905 0.250 0.606
0.149 0.250 0.752
0.226 0.250 0.486
0.274 0.750 0.986
0.351 0.750 0.252
0.649 0.250 0.748
0.726 0.250 0.014
0.774 0.750 0.514
0.851 0.750 0.248
```

As for the density of states at the Fermi level: 2.5 states/eV per cell. The crystal system is orthorhombic. Its energy above the lowest structure with this stoichiometry is 65.3 meV/atom. Its volume is 218.9 Å³/cell. For the formation energy, the calculation gives -184.0 kJ/mol of formula units.

# 3
Material: Er2Ta2C3
Method: DFT, GGA-PBE
State: relaxed

Structure (POSCAR):
```
Er2Ta2C3
1.0
5.790 -1.688 0.000
5.790 1.688 0.000
-1.746 0.000 5.477
Er Ta C
2 2 3
Direct
0.112 0.112 0.339
0.888 0.888 0.661
0.353 0.353 0.163
0.647 0.647 0.837
0.246 0.246 0.768
0.500 0.500 0.500
0.754 0.754 0.232
```

As for the density of states at the Fermi level: 3.2 states/eV per cell. The crystal system is monoclinic. Its volume is 107.0 Å³/cell. For the formation energy, the calculation gives -352.0 kJ/mol of formula units.

# 4
Material: ErTa2TcC4
Method: DFT, GGA-PBE
State: relaxed

Structure (POSCAR):
```
ErTa2TcC4
1.0
1.614 -5.609 0.000
1.614 5.609 0.000
0.000 0.000 11.182
Er Ta Tc C
2 4 2 8
Direct
0.119 0.881 0.750
0.881 0.119 0.250
0.369 0.631 0.535
0.369 0.631 0.965
0.631 0.369 0.035
0.631 0.369 0.465
0.147 0.853 0.250
0.853 0.147 0.750
0.000 0.000 0.000
0.000 0.000 0.500
0.261 0.739 0.115
0.261 0.739 0.385
0.453 0.547 0.750
0.547 0.453 0.250
0.739 0.261 0.615
0.739 0.261 0.885
```

As for the density of states at the Fermi level: 4.1 states/eV per cell. The crystal system is orthorhombic. Its volume is 202.5 Å³/cell. For the formation energy, the calculation gives -203.8 kJ/mol of formula units.

# 5
Material: ErThTaC3
Method: DFT, GGA-PBE
State: relaxed

Structure (POSCAR):
```
ErThTaC3
1.0
5.911 0.000 0.000
0.000 3.586 0.000
-1.860 0.000 8.726
Er Th Ta C
2 2 2 6
Direct
0.233 0.250 0.450
0.767 0.750 0.550
0.355 0.750 0.808
0.645 0.250 0.192
0.132 0.750 0.137
0.868 0.250 0.863
0.046 0.250 0.678
0.222 0.250 0.025
0.435 0.750 0.319
0.565 0.250 0.681
0.778 0.750 0.975
0.954 0.750 0.322
```

As for the density of states at the Fermi level: 4.5 states/eV per cell. The crystal system is monoclinic. Its volume is 184.9 Å³/cell. For the formation energy, the calculation gives -215.1 kJ/mol of formula units.

# 6
Material: ErU2TaC4
Method: DFT, GGA-PBE
State: relaxed

Structure (POSCAR):
```
ErU2TaC4
1.0
-3.362 3.450 4.850
3.362 -3.450 4.850
3.362 3.450 -4.850
Er U Ta C
2 4 2 8
Direct
0.000 0.000 0.000
0.500 0.000 0.500
0.000 0.500 0.500
0.500 0.000 0.000
0.500 0.500 0.000
0.500 0.500 0.500
0.000 0.000 0.500
0.000 0.500 0.000
0.232 0.747 0.485
0.239 0.253 0.985
0.240 0.256 0.516
0.240 0.724 0.984
0.760 0.276 0.016
0.760 0.744 0.484
0.761 0.747 0.015
0.768 0.253 0.515
```

As for the density of states at the Fermi level: 9.0 states/eV per cell. The crystal system is orthorhombic. Its volume is 225.0 Å³/cell. For the formation energy, the calculation gives -276.9 kJ/mol of formula units.

# 7
Material: Er2UTaC4
Method: DFT, GGA-PBE
State: relaxed

Structure (POSCAR):
```
Er2UTaC4
1.0
-3.387 3.470 4.828
3.387 -3.470 4.828
3.387 3.470 -4.828
Er U Ta C
4 2 2 8
Direct
0.000 0.000 0.000
0.500 0.000 0.000
0.500 0.000 0.500
0.500 0.500 0.500
0.000 0.500 0.500
0.500 0.500 0.000
0.000 0.000 0.500
0.000 0.500 0.000
0.218 0.741 0.477
0.234 0.253 0.519
0.234 0.716 0.981
0.236 0.259 0.977
0.764 0.741 0.023
0.766 0.284 0.019
0.766 0.747 0.481
0.782 0.259 0.523
```

As for the density of states at the Fermi level: 5.7 states/eV per cell. The crystal system is orthorhombic. Its volume is 227.0 Å³/cell. For the formation energy, the calculation gives -341.4 kJ/mol of formula units.

# 8
Material: ErTa2VC4
Method: DFT, GGA-PBE
State: relaxed

Structure (POSCAR):
```
ErTa2VC4
1.0
1.599 -5.547 0.000
1.599 5.547 0.000
0.000 0.000 11.190
Er Ta V C
2 4 2 8
Direct
0.113 0.887 0.750
0.887 0.113 0.250
0.369 0.631 0.539
0.369 0.631 0.961
0.631 0.369 0.039
0.631 0.369 0.461
0.157 0.843 0.250
0.843 0.157 0.750
0.000 0.000 0.000
0.000 0.000 0.500
0.262 0.738 0.115
0.262 0.738 0.385
0.444 0.556 0.750
0.556 0.444 0.250
0.738 0.262 0.615
0.738 0.262 0.885
```

As for the density of states at the Fermi level: 6.3 states/eV per cell. The crystal system is orthorhombic. Its volume is 198.5 Å³/cell. For the formation energy, the calculation gives -307.7 kJ/mol of formula units.

# 9
Material: ErTa2WC4
Method: DFT, GGA-PBE
State: relaxed

Structure (POSCAR):
```
ErTa2WC4
1.0
1.601 -5.693 0.000
1.601 5.693 0.000
0.000 0.000 11.393
Er Ta W C
2 4 2 8
Direct
0.116 0.884 0.750
0.884 0.116 0.250
0.371 0.629 0.532
0.371 0.629 0.968
0.629 0.371 0.032
0.629 0.371 0.468
0.151 0.849 0.250
0.849 0.151 0.750
0.000 0.000 0.000
0.000 0.000 0.500
0.262 0.738 0.114
0.262 0.738 0.386
0.458 0.542 0.750
0.542 0.458 0.250
0.738 0.262 0.614
0.738 0.262 0.886
```

As for the density of states at the Fermi level: 3.6 states/eV per cell. The crystal system is orthorhombic. Its volume is 207.7 Å³/cell. For the formation energy, the calculation gives -203.7 kJ/mol of formula units.

# 10
Material: ErZr2TaC4
Method: DFT, GGA-PBE
State: relaxed

Structure (POSCAR):
```
ErZr2TaC4
1.0
1.686 -5.844 0.000
1.686 5.844 0.000
0.000 0.000 11.843
Er Zr Ta C
2 4 2 8
Direct
0.137 0.863 0.750
0.863 0.137 0.250
0.368 0.632 0.529
0.368 0.632 0.971
0.632 0.368 0.029
0.632 0.368 0.471
0.132 0.868 0.250
0.868 0.132 0.750
0.000 0.000 0.000
0.000 0.000 0.500
0.248 0.752 0.119
0.248 0.752 0.381
0.472 0.528 0.750
0.528 0.472 0.250
0.752 0.248 0.619
0.752 0.248 0.881
```

As for the density of states at the Fermi level: 1.8 states/eV per cell. The crystal system is orthorhombic. Its volume is 233.4 Å³/cell. For the formation energy, the calculation gives -273.6 kJ/mol of formula units.

# 11
Material: Tb3ErC
Method: DFT, GGA-PBE
State: relaxed

Structure (POSCAR):
```
Tb3ErC
1.0
5.070 0.000 0.000
0.000 5.070 0.000
0.000 0.000 5.070
Tb Er C
3 1 1
Direct
0.000 0.000 0.500
0.000 0.500 0.000
0.500 0.000 0.000
0.500 0.500 0.500
0.000 0.000 0.000
```

As for the density of states at the Fermi level: 6.2 states/eV per cell. The crystal system is cubic. Its volume is 130.4 Å³/cell. For the formation energy, the calculation gives 0.1 kJ/mol of formula units.

# 12
Material: Tb2ErC
Method: DFT, GGA-PBE
State: relaxed

Structure (POSCAR):
```
Tb2ErC
1.0
1.770 1.022 9.625
-1.770 1.022 9.625
0.000 -2.044 9.625
Tb Er C
2 1 1
Direct
0.120 0.120 0.120
0.880 0.880 0.880
0.000 0.000 0.000
0.500 0.500 0.500
```

As for the density of states at the Fermi level: 4.6 states/eV per cell. The crystal system is trigonal. Its volume is 104.4 Å³/cell. For the formation energy, the calculation gives -17.5 kJ/mol of formula units.